[1]
VASP calculation (GGA-PBE) on Ho2TiZn after structural relaxation.

```
Ho2TiZn
1.0
3.277 0.000 0.000
-1.638 2.838 0.000
0.000 0.000 32.160
Ho Ti Zn
6 3 3
Direct
0.000 0.000 0.093
0.000 0.000 0.907
0.333 0.667 0.574
0.333 0.667 0.759
0.667 0.333 0.241
0.667 0.333 0.426
0.000 0.000 0.000
0.333 0.667 0.667
0.667 0.333 0.333
0.000 0.000 0.500
0.333 0.667 0.167
0.667 0.333 0.833
```

## Properties
offset from the most stable computed form = 409 meV/atom
formation energy from the elements = 0.36 eV/atom
SG = R-3m
DOS at the Fermi energy = 5.8 states/eV/f.u.

[2]
VASP calculation (GGA-PBE) on HoTiZn2 after structural relaxation.

```
HoTiZn2
1.0
6.723 0.000 0.000
0.000 6.723 0.000
0.000 0.000 6.723
Ho Ti Zn
4 4 8
Direct
0.000 0.000 0.000
0.000 0.500 0.500
0.500 0.000 0.500
0.500 0.500 0.000
0.000 0.000 0.500
0.000 0.500 0.000
0.500 0.000 0.000
0.500 0.500 0.500
0.250 0.250 0.250
0.250 0.250 0.750
0.250 0.750 0.250
0.250 0.750 0.750
0.750 0.250 0.250
0.750 0.250 0.750
0.750 0.750 0.250
0.750 0.750 0.750
```

## Properties
offset from the most stable computed form = 47 meV/atom
formation energy from the elements = -0.16 eV/atom
SG = Fm-3m
DOS at the Fermi energy = 3.4 states/eV/f.u.

[3]
VASP calculation (GGA-PBE) on Ho2TiZn after structural relaxation.

```
Ho2TiZn
1.0
5.179 0.000 0.000
0.000 5.179 0.000
0.000 0.000 3.475
Ho Ti Zn
2 1 1
Direct
0.000 0.500 0.000
0.500 0.000 0.000
0.000 0.000 0.500
0.500 0.500 0.500
```

## Properties
offset from the most stable computed form = 73 meV/atom
formation energy from the elements = 0.03 eV/atom
SG = P4/mmm
DOS at the Fermi energy = 6.1 states/eV/f.u.

[4]
VASP calculation (GGA-PBE) on Ho2TiZn after structural relaxation.

```
Ho2TiZn
1.0
3.353 0.000 0.000
0.000 3.353 0.000
0.000 0.000 8.228
Ho Ti Zn
2 1 1
Direct
0.000 0.000 0.242
0.000 0.000 0.758
0.500 0.500 0.500
0.500 0.500 0.000
```

## Properties
offset from the most stable computed form = 0 meV/atom
formation energy from the elements = -0.04 eV/atom
SG = P4/mmm
DOS at the Fermi energy = 4.2 states/eV/f.u.

[5]
VASP calculation (GGA-PBE) on HoTiZn after structural relaxation.

```
HoTiZn
1.0
3.210 0.000 0.000
-1.605 2.780 0.000
0.000 0.000 14.255
Ho Ti Zn
2 2 2
Direct
0.000 0.000 0.179
0.000 0.000 0.821
0.667 0.333 0.352
0.667 0.333 0.648
0.000 0.000 0.500
0.667 0.333 0.000
```

## Properties
formation energy from the elements = 0.16 eV/atom
SG = P-6m2
DOS at the Fermi energy = 3.6 states/eV/f.u.

[6]
VASP calculation (GGA-PBE) on HoZrTi4 after structural relaxation.

```
HoZrTi4
1.0
0.000 3.993 3.993
3.993 0.000 3.993
3.993 3.993 0.000
Ho Zr Ti
1 1 4
Direct
0.000 0.000 0.000
0.250 0.250 0.250
0.131 0.623 0.623
0.623 0.131 0.623
0.623 0.623 0.131
0.623 0.623 0.623
```

## Properties
formation energy from the elements = 0.22 eV/atom
SG = F-43m
DOS at the Fermi energy = 11.7 states/eV/f.u.

[7]
VASP calculation (GGA-PBE) on HoZr2Ti after structural relaxation.

```
HoZr2Ti
1.0
3.637 0.000 0.000
0.000 3.637 0.000
0.000 0.000 7.083
Ho Zr Ti
1 2 1
Direct
0.000 0.000 0.000
0.500 0.500 0.295
0.500 0.500 0.705
0.000 0.000 0.500
```

## Properties
offset from the most stable computed form = 0 meV/atom
formation energy from the elements = 0.12 eV/atom
SG = P4/mmm
DOS at the Fermi energy = 5.6 states/eV/f.u.

[8]
VASP calculation (GGA-PBE) on HoZrTi after structural relaxation.

```
HoZrTi
1.0
3.213 0.000 0.000
-1.607 2.783 0.000
0.000 0.000 7.834
Ho Zr Ti
1 1 1
Direct
0.000 0.000 0.000
0.333 0.667 0.631
0.667 0.333 0.333
```

## Properties
offset from the most stable computed form = 36 meV/atom
formation energy from the elements = 0.21 eV/atom
SG = P3m1
DOS at the Fermi energy = 5.3 states/eV/f.u.

[9]
VASP calculation (GGA-PBE) on HoZr2Ti after structural relaxation.

```
HoZr2Ti
1.0
4.519 0.000 0.000
0.000 4.519 0.000
0.000 0.000 4.543
Ho Zr Ti
1 2 1
Direct
0.000 0.000 0.000
0.000 0.500 0.500
0.500 0.000 0.500
0.500 0.500 0.000
```

## Properties
offset from the most stable computed form = 47 meV/atom
formation energy from the elements = 0.17 eV/atom
SG = P4/mmm
DOS at the Fermi energy = 6.6 states/eV/f.u.

[10]
VASP calculation (GGA-PBE) on HoZr2Ti after structural relaxation.

```
HoZr2Ti
1.0
3.206 0.000 0.000
-1.603 2.776 0.000
0.000 0.000 31.334
Ho Zr Ti
3 6 3
Direct
0.000 0.000 0.000
0.333 0.667 0.667
0.667 0.333 0.333
0.000 0.000 0.243
0.000 0.000 0.757
0.333 0.667 0.424
0.333 0.667 0.910
0.667 0.333 0.090
0.667 0.333 0.576
0.000 0.000 0.500
0.333 0.667 0.167
0.667 0.333 0.833
```

## Properties
offset from the most stable computed form = 34 meV/atom
formation energy from the elements = 0.16 eV/atom
SG = R-3m
DOS at the Fermi energy = 6.3 states/eV/f.u.

[11]
VASP calculation (GGA-PBE) on HoZrTi after structural relaxation.

```
HoZrTi
1.0
4.502 0.000 0.000
0.000 4.495 0.000
-2.244 0.000 6.920
Ho Zr Ti
2 2 2
Direct
0.092 0.250 0.184
0.908 0.750 0.816
0.398 0.250 0.796
0.602 0.750 0.204
0.249 0.750 0.498
0.751 0.250 0.502
```

## Properties
offset from the most stable computed form = 0 meV/atom
formation energy from the elements = 0.17 eV/atom
SG = P2_1/m
DOS at the Fermi energy = 4.9 states/eV/f.u.

[12]
VASP calculation (GGA-PBE) on HoZr2Ti after structural relaxation.

```
HoZr2Ti
1.0
3.223 0.000 0.000
-1.611 2.791 0.000
0.000 0.000 31.137
Ho Zr Ti
3 6 3
Direct
0.000 0.000 0.000
0.333 0.667 0.667
0.667 0.333 0.333
0.000 0.000 0.242
0.000 0.000 0.423
0.333 0.667 0.090
0.333 0.667 0.909
0.667 0.333 0.576
0.667 0.333 0.756
0.000 0.000 0.833
0.333 0.667 0.499
0.667 0.333 0.166
```

## Properties
offset from the most stable computed form = 24 meV/atom
formation energy from the elements = 0.15 eV/atom
SG = R3m
DOS at the Fermi energy = 6.5 states/eV/f.u.

[13]
VASP calculation (GGA-PBE) on Ho5Tl2 after structural relaxation.

```
Ho5Tl2
1.0
8.153 -2.689 0.000
8.153 2.689 0.000
-1.759 0.000 9.135
Ho Tl
10 4
Direct
0.018 0.520 0.673
0.112 0.611 0.037
0.250 0.750 0.750
0.389 0.888 0.463
0.480 0.982 0.827
0.520 0.018 0.173
0.611 0.112 0.537
0.750 0.250 0.250
0.888 0.389 0.963
0.982 0.480 0.327
0.175 0.676 0.392
0.324 0.825 0.108
0.676 0.175 0.892
0.825 0.324 0.608
```

## Properties
offset from the most stable computed form = 0 meV/atom
formation energy from the elements = -0.20 eV/atom
SG = C2/c
DOS at the Fermi energy = 5.8 states/eV/f.u.

[14]
VASP calculation (GGA-PBE) on Ho8Tl after structural relaxation.

```
Ho8Tl
1.0
-5.277 5.277 2.430
5.277 -5.277 2.430
5.277 5.277 -2.430
Ho Tl
8 1
Direct
0.000 0.336 0.336
0.000 0.664 0.664
0.336 0.000 0.336
0.338 0.338 0.675
0.338 0.662 0.000
0.662 0.338 0.000
0.662 0.662 0.325
0.664 0.000 0.664
0.000 0.000 0.000
```

## Properties
formation energy from the elements = -0.04 eV/atom
SG = I4/mmm
DOS at the Fermi energy = 13.8 states/eV/f.u.

[15]
VASP calculation (GGA-PBE) on Ho5Tl2 after structural relaxation.

```
Ho5Tl2
1.0
2.303 -19.317 0.000
2.303 19.317 0.000
0.000 0.000 4.654
Ho Tl
10 4
Direct
0.033 0.967 0.750
0.110 0.890 0.250
0.255 0.745 0.750
0.326 0.674 0.250
0.462 0.538 0.750
0.538 0.462 0.250
0.674 0.326 0.750
0.745 0.255 0.250
0.890 0.110 0.750
0.967 0.033 0.250
0.191 0.809 0.250
0.406 0.594 0.250
0.594 0.406 0.750
0.809 0.191 0.750
```

## Properties
offset from the most stable computed form = 40 meV/atom
formation energy from the elements = -0.16 eV/atom
SG = Cmcm
DOS at the Fermi energy = 7.0 states/eV/f.u.

[16]
VASP calculation (GGA-PBE) on Ho2Tl3 after structural relaxation.

```
Ho2Tl3
1.0
7.732 0.000 0.000
0.000 7.732 0.000
0.000 0.000 4.540
Ho Tl
4 6
Direct
0.128 0.695 0.000
0.305 0.128 0.000
0.695 0.872 0.000
0.872 0.305 0.000
0.000 0.000 0.500
0.180 0.394 0.500
0.394 0.820 0.500
0.500 0.500 0.000
0.606 0.180 0.500
0.820 0.606 0.500
```

## Properties
offset from the most stable computed form = 0 meV/atom
formation energy from the elements = -0.27 eV/atom
SG = P4/m
DOS at the Fermi energy = 3.0 states/eV/f.u.

[17]
VASP calculation (GGA-PBE) on Ho5Tl after structural relaxation.

```
Ho5Tl
1.0
4.846 0.000 0.000
0.000 15.038 0.000
0.000 0.000 4.839
Ho Tl
10 2
Direct
0.000 0.000 0.000
0.000 0.163 0.500
0.000 0.331 0.000
0.000 0.669 0.000
0.000 0.837 0.500
0.500 0.169 0.000
0.500 0.337 0.500
0.500 0.500 0.000
0.500 0.663 0.500
0.500 0.831 0.000
0.000 0.500 0.500
0.500 0.000 0.500
```

## Properties
offset from the most stable computed form = 0 meV/atom
formation energy from the elements = -0.11 eV/atom
SG = Cmmm
DOS at the Fermi energy = 6.3 states/eV/f.u.

[18]
VASP calculation (GGA-PBE) on Ho3Tl7 after structural relaxation.

```
Ho3Tl7
1.0
8.770 -2.383 0.000
8.770 2.383 0.000
-1.389 0.000 6.489
Ho Tl
3 7
Direct
0.000 0.000 0.000
0.188 0.188 0.611
0.812 0.812 0.389
0.000 0.000 0.500
0.205 0.205 0.122
0.392 0.392 0.695
0.404 0.404 0.189
0.596 0.596 0.811
0.608 0.608 0.305
0.795 0.795 0.878
```

## Properties
formation energy from the elements = -0.21 eV/atom
SG = C2/m
DOS at the Fermi energy = 7.1 states/eV/f.u.

[19]
VASP calculation (GGA-PBE) on HoTl2 after structural relaxation.

```
HoTl2
1.0
5.400 0.000 0.000
-2.700 4.677 0.000
0.000 0.000 6.527
Ho Tl
2 4
Direct
0.333 0.667 0.250
0.667 0.333 0.750
0.000 0.000 0.000
0.000 0.000 0.500
0.333 0.667 0.750
0.667 0.333 0.250
```

## Properties
formation energy from the elements = -0.17 eV/atom
SG = P6_3/mmc
DOS at the Fermi energy = 1.8 states/eV/f.u.

[20]
VASP calculation (GGA-PBE) on Ho3Tl2 after structural relaxation.

```
Ho3Tl2
1.0
3.571 0.000 0.000
0.000 3.571 0.000
0.000 0.000 22.018
Ho Tl
6 4
Direct
0.000 0.000 0.000
0.000 0.000 0.194
0.000 0.000 0.806
0.500 0.500 0.306
0.500 0.500 0.500
0.500 0.500 0.694
0.000 0.000 0.404
0.000 0.000 0.596
0.500 0.500 0.096
0.500 0.500 0.904
```

## Properties
offset from the most stable computed form = 0 meV/atom
formation energy from the elements = -0.27 eV/atom
SG = I4/mmm
DOS at the Fermi energy = 4.9 states/eV/f.u.